SbIN3: optimized geometry, PBE-GGA.

Cell: 4.089 4.089 4.089 Å, 90.00 90.00 90.00°
Atoms (fractional coordinates):
Sb: 0.000 0.000 0.000
I: 0.500 0.500 0.500
N: 0.000 0.000 0.500
N: 0.000 0.500 0.000
N: 0.500 0.000 0.000

Properties
Uncorrected formation energy in eV per atom: 1.78
Total magnetization in μB per formula unit: 0.0

***

NaPrHo4S8: optimized geometry, PBE-GGA.

Cell: 8.198 8.198 8.198 Å, 59.04 59.04 59.04°
Atoms (fractional coordinates):
Na: 0.000 0.000 0.000
Pr: 0.631 0.631 0.631
Ho: 0.114 0.632 0.632
Ho: 0.253 0.253 0.253
Ho: 0.632 0.114 0.632
Ho: 0.632 0.632 0.114
S: 0.378 0.378 0.857
S: 0.378 0.857 0.378
S: 0.385 0.385 0.385
S: 0.409 0.873 0.873
S: 0.857 0.378 0.378
S: 0.865 0.865 0.865
S: 0.873 0.409 0.873
S: 0.873 0.873 0.409

Properties
Uncorrected formation energy in eV per atom: -1.94
Total magnetization in μB per formula unit: 0.0

***

CeCuPt2: optimized geometry, PBE-GGA.

Cell: 14.943 7.151 5.446 Å, 90.00 90.00 90.00°
Atoms (fractional coordinates):
Ce: 0.107 0.250 0.231
Ce: 0.142 0.750 0.486
Ce: 0.358 0.250 0.986
Ce: 0.393 0.750 0.731
Ce: 0.607 0.250 0.269
Ce: 0.642 0.750 0.014
Ce: 0.858 0.250 0.514
Ce: 0.893 0.750 0.769
Cu: 0.071 0.750 0.992
Cu: 0.180 0.250 0.719
Cu: 0.320 0.750 0.219
Cu: 0.429 0.250 0.492
Cu: 0.571 0.750 0.508
Cu: 0.680 0.250 0.781
Cu: 0.820 0.750 0.281
Cu: 0.929 0.250 0.008
Pt: 0.034 0.048 0.733
Pt: 0.034 0.452 0.733
Pt: 0.216 0.548 0.956
Pt: 0.216 0.952 0.956
Pt: 0.284 0.048 0.456
Pt: 0.284 0.452 0.456
Pt: 0.466 0.548 0.233
Pt: 0.466 0.952 0.233
Pt: 0.534 0.048 0.767
Pt: 0.534 0.452 0.767
Pt: 0.716 0.548 0.544
Pt: 0.716 0.952 0.544
Pt: 0.784 0.048 0.044
Pt: 0.784 0.452 0.044
Pt: 0.966 0.548 0.267
Pt: 0.966 0.952 0.267

Properties
Formation enthalpy at 0 K in meV/atom: -748
Total magnetization in μB per formula unit: 0.2

***

Question: The highest total magnetization belongs to which entry?
Answer: CeCuPt2